1.
{"formula": "Pm2SmIr", "functional": "GGA-PBE", "state": "optimized geometry", "mass_density_g_cm3": 9.11, "sg": "P4/mmm, No. 123", "total_energy_ev_per_atom": -6.049, "relative_energy_ev_per_atom": 0.199, "cell": [[3.591, 0.000, 0.000], [0.000, 3.591, 0.000], [0.000, 0.000, 8.943]], "species": ["Ir", "Sm", "Pm", "Pm"], "frac_coords": [[0.500, 0.500, 0.000], [0.500, 0.500, 0.500], [0.000, 0.000, 0.815], [0.000, 0.000, 0.185]]}


2.
{"formula": "YAsAu4", "functional": "GGA-PBE", "state": "optimized geometry", "mass_density_g_cm3": 12.84, "sg": "F-43m, No. 216", "total_energy_ev_per_atom": -4.402, "cell": [[0.000, 3.948, 3.948], [3.948, 0.000, 3.948], [3.948, 3.948, 0.000]], "species": ["Y", "As", "Au", "Au", "Au", "Au"], "frac_coords": [[0.750, 0.750, 0.750], [0.000, 0.000, 0.000], [0.875, 0.375, 0.375], [0.375, 0.375, 0.875], [0.375, 0.875, 0.375], [0.375, 0.375, 0.375]]}


3.
{"formula": "Na5Cd2Au4", "functional": "GGA-PBE", "state": "optimized geometry", "mass_density_g_cm3": 4.82, "sg": "Immm, No. 71", "total_energy_ev_per_atom": -1.934, "cell": [[-1.733, 2.094, -3.749], [-6.170, -2.334, 1.548], [1.777, 10.310, 7.799]], "species": ["Na", "Na", "Na", "Na", "Na", "Cd", "Cd", "Au", "Au", "Au", "Au"], "frac_coords": [[0.184, 0.434, 0.368], [0.816, 0.566, 0.632], [0.184, 0.934, 0.368], [0.500, 0.000, 0.000], [0.816, 0.066, 0.632], [0.081, 0.081, 0.162], [0.919, 0.919, 0.838], [0.717, 0.717, 0.434], [0.000, 0.298, 0.000], [0.283, 0.283, 0.566], [0.000, 0.702, 0.000]]}